(1)
Material: RbMg2
Method: DFT, PBE
State: relaxed

Output
- Spin magnetization: 0.00 μB per formula unit
- V: 40.33 Å³ per atom
- Density of states at the Fermi level: 0.484 states/eV/atom
- Formation energy from the elements: 0.168 eV per atom

abc: 13.948 13.948 4.923
angles: 90.00 90.00 165.37
Positions (direct):
Mg1 0.038 0.962 0.750
Mg2 0.962 0.038 0.250
Mg3 0.560 0.440 0.250
Mg4 0.440 0.560 0.750
Rb1 0.327 0.673 0.250
Rb2 0.673 0.327 0.750


(2)
Material: RbMg3
Method: DFT, PBE
State: relaxed

Output
- Spin magnetization: 0.00 μB per formula unit
- V: 39.09 Å³ per atom
- Energy above the most stable polymorph in this dataset: 52.6 meV/atom
- Density of states at the Fermi level: 0.674 states/eV/atom
- Formation energy from the elements: 0.239 eV per atom

abc: 8.445 8.445 5.063
angles: 90.00 90.00 120.00
Positions (direct):
Rb1 0.667 0.333 0.750
Rb2 0.333 0.667 0.250
Mg1 0.875 0.751 0.250
Mg2 0.875 0.125 0.250
Mg3 0.751 0.875 0.750
Mg4 0.249 0.125 0.250
Mg5 0.125 0.249 0.750
Mg6 0.125 0.875 0.750


(3)
Material: RbMg3
Method: DFT, PBE
State: relaxed

Output
- Spin magnetization: 0.00 μB per formula unit
- V: 35.25 Å³ per atom
- Energy above the most stable polymorph in this dataset: 132.0 meV/atom
- Density of states at the Fermi level: 0.615 states/eV/atom
- Formation energy from the elements: 0.319 eV per atom

abc: 7.643 7.643 11.149
angles: 90.00 90.00 120.00
Positions (direct):
Mg1 0.500 0.500 0.500
Mg2 0.500 0.500 0.000
Mg3 0.000 0.500 0.000
Mg4 0.803 0.197 0.250
Mg5 0.393 0.197 0.250
Mg6 0.607 0.803 0.750
Mg7 0.000 0.500 0.500
Mg8 0.197 0.393 0.750
Mg9 0.197 0.803 0.750
Mg10 0.500 0.000 0.000
Mg11 0.500 0.000 0.500
Mg12 0.803 0.607 0.250
Rb1 0.333 0.667 0.250
Rb2 0.000 0.000 0.000
Rb3 0.000 0.000 0.500
Rb4 0.667 0.333 0.750


(4)
Material: RbMg3
Method: DFT, PBE
State: relaxed

Output
- Spin magnetization: 0.00 μB per formula unit
- V: 33.27 Å³ per atom
- Energy above the most stable polymorph in this dataset: 182.0 meV/atom
- Density of states at the Fermi level: 0.470 states/eV/atom
- Formation energy from the elements: 0.369 eV per atom

abc: 5.840 5.840 3.902
angles: 90.00 90.00 90.00
Positions (direct):
Mg1 0.000 0.500 0.500
Mg2 0.500 0.500 0.000
Mg3 0.500 0.000 0.500
Rb1 0.000 0.000 0.000


(5)
Material: RbMg2
Method: DFT, PBE
State: relaxed

Output
- Spin magnetization: 0.00 μB per formula unit
- V: 38.75 Å³ per atom
- Density of states at the Fermi level: 0.620 states/eV/atom
- Formation energy from the elements: 0.225 eV per atom

abc: 7.601 7.601 7.601
angles: 148.98 148.98 44.43
Positions (direct):
Mg1 0.792 0.792 0.000
Mg2 0.208 0.208 0.000
Rb1 0.500 0.500 0.000


(6)
Material: Rb2Mg3
Method: DFT, PBE
State: relaxed

Output
- Spin magnetization: 0.00 μB per formula unit
- V: 44.28 Å³ per atom
- Energy above the most stable polymorph in this dataset: 85.6 meV/atom
- Density of states at the Fermi level: 0.504 states/eV/atom
- Formation energy from the elements: 0.215 eV per atom

abc: 11.654 10.725 6.978
angles: 79.25 64.71 36.04
Positions (direct):
Mg1 0.375 0.871 0.950
Mg2 0.120 0.880 0.880
Mg3 0.804 0.950 0.871
Mg4 0.370 0.130 0.130
Mg5 0.379 0.875 0.446
Mg6 0.300 0.446 0.875
Rb1 0.736 0.859 0.440
Rb2 0.391 0.514 0.285
Rb3 0.810 0.285 0.514
Rb4 0.965 0.440 0.859


(7)
Material: RbMg3
Method: DFT, PBE
State: relaxed

Output
- Spin magnetization: 0.00 μB per formula unit
- V: 37.60 Å³ per atom
- Energy above the most stable polymorph in this dataset: 0.0 meV/atom
- Density of states at the Fermi level: 0.732 states/eV/atom
- Formation energy from the elements: 0.187 eV per atom

abc: 5.242 7.203 7.966
angles: 90.00 90.00 90.00
Positions (direct):
Mg1 0.500 0.719 0.101
Mg2 0.000 0.781 0.899
Mg3 0.500 0.000 0.813
Mg4 0.000 0.219 0.899
Mg5 0.000 0.500 0.187
Mg6 0.500 0.281 0.101
Rb1 0.000 0.000 0.403
Rb2 0.500 0.500 0.597


(8)
Material: RbMg2
Method: DFT, PBE
State: relaxed

Output
- Spin magnetization: 0.00 μB per formula unit
- V: 42.65 Å³ per atom
- Density of states at the Fermi level: 0.603 states/eV/atom
- Formation energy from the elements: 0.177 eV per atom

abc: 3.903 5.534 12.846
angles: 82.10 87.69 68.62
Positions (direct):
Mg1 0.833 0.965 0.375
Mg2 0.553 0.512 0.448
Mg3 0.133 0.402 0.263
Mg4 0.413 0.857 0.190
Rb1 0.283 0.001 0.654
Rb2 0.666 0.369 0.984


(9)
Material: RbMg4
Method: DFT, PBE
State: relaxed

Output
- Spin magnetization: 0.00 μB per formula unit
- V: 31.65 Å³ per atom
- Energy above the most stable polymorph in this dataset: 14.8 meV/atom
- Density of states at the Fermi level: 0.554 states/eV/atom
- Formation energy from the elements: 0.239 eV per atom

abc: 5.998 5.998 5.998
angles: 102.84 102.84 123.74
Positions (direct):
Rb1 0.000 0.000 0.000
Mg1 0.493 0.197 0.690
Mg2 0.197 0.507 0.704
Mg3 0.507 0.803 0.310
Mg4 0.803 0.493 0.296


(10)
Material: RbMg2
Method: DFT, PBE
State: relaxed

Output
- Spin magnetization: 0.00 μB per formula unit
- V: 43.40 Å³ per atom
- Density of states at the Fermi level: 0.507 states/eV/atom
- Formation energy from the elements: 0.157 eV per atom

abc: 4.620 4.194 13.618
angles: 90.00 99.31 90.00
Positions (direct):
Mg1 0.574 0.000 0.595
Mg2 0.657 0.500 0.767
Mg3 0.074 0.500 0.592
Mg4 0.158 0.000 0.769
Rb1 0.791 0.000 0.023
Rb2 0.457 0.500 0.340


(11)
Material: RbMg4
Method: DFT, PBE
State: relaxed

Output
- Spin magnetization: 0.00 μB per formula unit
- V: 61.46 Å³ per atom
- Energy above the most stable polymorph in this dataset: 823.8 meV/atom
- Density of states at the Fermi level: 0.628 states/eV/atom
- Formation energy from the elements: 1.048 eV per atom

abc: 6.748 6.748 6.748
angles: 90.00 90.00 90.00
Positions (direct):
Mg1 0.500 0.000 0.500
Mg2 0.000 0.500 0.500
Mg3 0.000 0.000 0.000
Mg4 0.500 0.500 0.000
Rb1 0.500 0.500 0.500


(12)
Material: RbMg2
Method: DFT, PBE
State: relaxed

Output
- Spin magnetization: 0.00 μB per formula unit
- V: 39.55 Å³ per atom
- Density of states at the Fermi level: 0.752 states/eV/atom
- Formation energy from the elements: 0.392 eV per atom

abc: 6.169 6.169 7.201
angles: 90.00 90.00 120.00
Positions (direct):
Rb1 0.333 0.667 0.250
Rb2 0.667 0.333 0.750
Mg1 0.000 0.000 0.000
Mg2 0.667 0.333 0.250
Mg3 0.000 0.000 0.500
Mg4 0.333 0.667 0.750